A relaxed SmGa3Ge3 crystal. Source: Alexandria via LeMat-Bulk, functional PBE-GGA.

Cell lengths 6.994, 6.994, 6.994 Å; angles 90.00, 90.00, 90.00 degrees
Fractional positions:
Sm 0.000 0.000 0.000
Sm 0.500 0.500 0.500
Ga 0.000 0.250 0.500
Ga 0.000 0.750 0.500
Ga 0.250 0.500 0.000
Ga 0.500 0.000 0.250
Ga 0.500 0.000 0.750
Ga 0.750 0.500 0.000
Ge 0.000 0.500 0.250
Ge 0.000 0.500 0.750
Ge 0.250 0.000 0.500
Ge 0.500 0.250 0.000
Ge 0.500 0.750 0.000
Ge 0.750 0.000 0.500

The total energy comes out at -3.8326 eV/atom. The calculation puts the density of states at the Fermi level at 0.477 states/eV per atom. As for the formation energy: 0.118 eV/atom.